The following is a PBE calculation of a geometry-optimized RbCu2Hg structure, from Alexandria via LeMat-Bulk.

```
RbCu2Hg
1.0
5.0617 0.0000 0.0000
0.0000 5.0617 0.0000
2.5309 2.5309 9.1737
Rb Cu Hg
2 4 2
Cartesian
2.5309 5.0617 4.5869 Rb
2.5309 2.5309 0.0000 Rb
3.7963 2.5313 6.8803 Cu
6.3272 2.5305 6.8803 Cu
5.0614 1.2654 2.2934 Cu
5.0621 3.7963 2.2934 Cu
0.0000 0.0000 0.0000 Hg
5.0617 2.5309 4.5869 Hg
```

Output
formation enthalpy at 0 K	0.23	eV per atom
total magnetic moment	0.00	Bohr magnetons per cell
volume	235.0	Å³/cell
SG	I4_1/amd

=====

The following is a PBE calculation of a geometry-optimized RbCu3Hg structure, from Alexandria via LeMat-Bulk.

```
RbCu3Hg
1.0
5.0768 0.0000 0.0000
0.0000 5.0768 0.0000
0.0000 0.0000 5.0768
Cu Hg Rb
3 1 1
Cartesian
2.5384 0.0000 0.0000 Cu
0.0000 2.5384 0.0000 Cu
0.0000 0.0000 2.5384 Cu
0.0000 0.0000 0.0000 Hg
2.5384 2.5384 2.5384 Rb
```

Output
formation enthalpy at 0 K	0.51	eV per atom
total magnetic moment	0.00	Bohr magnetons per cell
volume	130.8	Å³/cell
distance to the lowest polymorph of the same formula	0.000	eV/atom
SG	Pm-3m

=====

The following is a PBE calculation of a geometry-optimized RbCu2Hg2 structure, from Alexandria via LeMat-Bulk.

```
RbCu2Hg2
1.0
4.9063 0.0000 0.0000
0.0000 4.9063 0.0000
2.4531 2.4531 5.2137
Rb Cu Hg
1 2 2
Cartesian
0.0000 0.0000 0.0000 Rb
4.9063 4.9063 3.9885 Cu
2.4531 2.4531 1.2252 Cu
2.4531 4.9063 2.6068 Hg
4.9063 2.4531 2.6068 Hg
```

Output
formation enthalpy at 0 K	0.12	eV per atom
total magnetic moment	0.00	Bohr magnetons per cell
volume	125.5	Å³/cell
distance to the lowest polymorph of the same formula	0.000	eV/atom
SG	I4/mmm

=====

The following is a PBE calculation of a geometry-optimized RbCu2Hg2 structure, from Alexandria via LeMat-Bulk.

```
RbCu2Hg2
1.0
8.4023 0.0000 0.0000
0.0000 8.4023 0.0000
0.0000 0.0000 3.1232
Rb Hg Cu
2 4 4
Cartesian
4.2011 4.2011 0.0000 Rb
0.0000 0.0000 0.0000 Rb
6.9709 2.7698 1.5616 Hg
2.7698 1.4314 1.5616 Hg
1.4314 5.6325 1.5616 Hg
5.6325 6.9709 1.5616 Hg
5.1489 0.9477 0.0000 Cu
3.2534 7.4545 0.0000 Cu
7.4545 5.1489 0.0000 Cu
0.9477 3.2534 0.0000 Cu
```

Output
formation enthalpy at 0 K	0.22	eV per atom
total magnetic moment	0.00	Bohr magnetons per cell
volume	220.5	Å³/cell
distance to the lowest polymorph of the same formula	0.099	eV/atom
SG	P4/mbm

=====

The following is a PBE calculation of a geometry-optimized Rb2CuHg2 structure, from Alexandria via LeMat-Bulk.

```
Rb2CuHg2
1.0
-5.0893 4.1189 2.7427
-3.8740 -0.8683 -5.8845
-6.2258 -1.6126 0.0552
Rb Hg Cu
2 2 1
Cartesian
-7.2907 -0.4278 -3.7001 Rb
-7.8984 2.0658 0.6135 Rb
-10.0848 1.1687 -2.0962 Hg
-5.1043 0.4694 -0.9904 Hg
0.0000 0.0000 0.0000 Cu
```

Output
formation enthalpy at 0 K	0.06	eV per atom
total magnetic moment	0.00	Bohr magnetons per cell
volume	202.6	Å³/cell
distance to the lowest polymorph of the same formula	0.018	eV/atom
SG	I4/mmm

=====

The following is a PBE calculation of a geometry-optimized Rb2CuHg2 structure, from Alexandria via LeMat-Bulk.

```
Rb2CuHg2
1.0
-2.1616 5.3629 5.1967
-7.1898 -0.0325 -2.9571
-1.4917 -4.1601 3.6726
Hg Cu Rb
4 2 4
Cartesian
-2.4457 3.4594 2.9252 Hg
-6.9057 1.8709 -0.6856 Hg
-6.4904 4.5591 2.5280 Hg
-2.8610 0.7712 -0.2884 Hg
0.0000 0.0000 0.0000 Cu
-4.6757 2.6652 1.1198 Cu
-4.8595 2.3302 5.1610 Rb
-8.1331 1.5167 2.9100 Rb
-5.9835 -1.1599 0.7512 Rb
-2.7100 -0.3464 3.0022 Rb
```

Output
formation enthalpy at 0 K	0.04	eV per atom
total magnetic moment	0.00	Bohr magnetons per cell
volume	347.3	Å³/cell
distance to the lowest polymorph of the same formula	0.000	eV/atom
SG	P4/mbm

=====

Among the records above, which one has the lowest volume? number 3

=====

What did the fifth record say?
The following is a PBE calculation of a geometry-optimized Rb2CuHg2 structure, from Alexandria via LeMat-Bulk.

```
Rb2CuHg2
1.0
-5.0893 4.1189 2.7427
-3.8740 -0.8683 -5.8845
-6.2258 -1.6126 0.0552
Rb Hg Cu
2 2 1
Cartesian
-7.2907 -0.4278 -3.7001 Rb
-7.8984 2.0658 0.6135 Rb
-10.0848 1.1687 -2.0962 Hg
-5.1043 0.4694 -0.9904 Hg
0.0000 0.0000 0.0000 Cu
```

Output
formation enthalpy at 0 K	0.06	eV per atom
total magnetic moment	0.00	Bohr magnetons per cell
volume	202.6	Å³/cell
distance to the lowest polymorph of the same formula	0.018	eV/atom
SG	I4/mmm

=====

total magnetic moment of number 4 (RbCu2Hg2)? 0.00 Bohr magnetons per cell

=====

total magnetic moment of number 3 (RbCu2Hg2)? 0.00 Bohr magnetons per cell